VASP calculation (PBE-GGA) on crystalline NaCoRu3 at its relaxed geometry.

Lattice parameters (Å, degrees): 4.3582 4.3582 4.3582 90.00 90.00 90.00
Element x y z (fractional)
Na: 0.0000 0.0000 0.0000
Co: 0.5000 0.5000 0.5000
Ru: 0.0000 0.0000 0.5000
Ru: 0.0000 0.5000 0.0000
Ru: 0.5000 0.0000 0.0000

Computed properties:
The calculation puts the energy of formation from the pure elements at 2.6695 eV/atom. Its symmetry is No. 221. For the total energy, the calculation gives -22.9 eV/f.u. Its energy relative to the lowest polymorph listed for this composition is 122.8 kJ/mol of atoms.